VASP calculation (PBE+U) on a relaxed YTaCrO6 crystal.

a b c (Å): 4.9331 4.9331 10.4161
angles (deg): 90.00 90.00 90.00
Each line ends with the local moment (μB).
Atoms (fractional coordinates):
O 0.1141 0.8859 0.1760  0.01
O 0.1820 0.8180 0.4992  -0.01
O 0.6141 0.6141 0.6760  0.01
O 0.6820 0.6820 0.9992  -0.01
O 0.3180 0.3180 0.9992  -0.01
O 0.7844 0.2156 0.8231  -0.03
O 0.8180 0.1820 0.4992  -0.01
O 0.8859 0.1141 0.1760  0.01
O 0.2156 0.7844 0.8231  -0.03
O 0.3859 0.3859 0.6760  0.01
O 0.7156 0.7156 0.3231  -0.03
O 0.2844 0.2844 0.3231  -0.03
Ta 0.5000 0.5000 0.8625  0.02
Ta 0.0000 0.0000 0.3625  0.02
Y 0.5000 0.5000 0.4738  0.00
Y 0.0000 0.0000 0.9738  0.00
Cr 0.0000 0.0000 0.6671  3.77
Cr 0.5000 0.5000 0.1671  3.77

## Properties
**Final energy**: -8.392 eV per atom